Compound: Ca4H2Pd
Source: Alexandria via LeMat-Bulk
Functional: GGA-PBE
Structure: optimized geometry

Structure (POSCAR):
```
Ca4H2Pd
1.0
-3.6034 3.9767 0.7624
-0.9740 -1.8418 5.0039
3.9973 6.1689 5.9844
Ca H Pd
4 2 1
Direct
0.0000 0.5000 0.0000 Ca
0.5000 0.0000 0.0000 Ca
0.8297 0.8297 0.3407 Ca
0.1703 0.1703 0.6593 Ca
0.7046 0.7046 0.5907 H
0.2954 0.2954 0.4093 H
0.0000 0.0000 0.0000 Pd
```

Calculated values
The volume comes out at 254.7 Å³/cell. For the final energy, the calculation gives -19.38 eV per formula unit. The calculation puts the total magnetization at 0.000 μB per atom.